A plane-wave DFT calculation with PBE-GGA was carried out for a relaxed NaAcMgBi crystal.

The structure in POSCAR format:
```
NaAcMgBi
1.0
0.000 4.049 4.049
4.049 0.000 4.049
4.049 4.049 0.000
Na Ac Mg Bi
1 1 1 1
Cartesian
0.000 0.000 0.000 Na
4.049 4.049 4.049 Ac
6.073 6.073 6.073 Mg
2.024 2.024 2.024 Bi
```

Calculated values
**D(E_F)**: 3.5 states/eV per cell
**Formation energy**: -0.2431 eV/atom
**Space group**: F-43m, No. 216
**V**: 33.188 Å³ per atom